This record from Alexandria via LeMat-Bulk describes Dy3ScP4 after structural relaxation. The functional is PBE-GGA.

POSCAR file:
```
Dy3ScP4
1.0
-5.971 -3.160 -1.066
2.124 -1.222 6.381
-3.851 6.430 2.513
Dy P Sc
6 8 2
Direct
0.750 0.000 0.373
0.250 0.500 0.876
0.250 0.500 0.373
0.750 0.500 0.124
0.750 0.500 0.627
0.250 0.000 0.627
0.000 0.760 0.881
0.495 0.246 0.370
0.005 0.754 0.370
0.500 0.760 0.119
0.505 0.754 0.630
0.995 0.246 0.630
0.500 0.240 0.881
0.000 0.240 0.119
0.250 0.000 0.124
0.750 0.000 0.876
```

Total magnetic moment: 0.0 μB per cell
Total DFT energy (no corrections): -108.61 eV/cell
Energy relative to the elements: -1.57 eV per atom